Entry 1:
The following is a DFT calculation (PBE-GGA) of a relaxed CrCdGa3 crystal.

Values from the calculation:
Crystal system: cubic
Excess energy over the best structure of this formula in the dataset, eV/atom: 0.000

Geometry as CIF:
```
data_CrCdGa3
_space_group_name_H-M_alt 'P m -3 m'
_space_group_IT_number 221
_space_group_name_Hall '-P 4 2 3'
_cell_length_a 4.8091
_cell_length_b 4.8091
_cell_length_c 4.8091
_cell_angle_alpha 90.00
_cell_angle_beta 90.00
_cell_angle_gamma 90.00
loop_
_atom_site_label
_atom_site_type_symbol
_atom_site_fract_x
_atom_site_fract_y
_atom_site_fract_z
Cr1 Cr 0.0000 0.0000 0.0000
Cd1 Cd 0.5000 0.5000 0.5000
Ga1 Ga 0.0000 0.0000 0.5000
```


Entry 2:
The following is a DFT calculation (PBE-GGA) of a relaxed CrCd2Ga2 crystal.

Values from the calculation:
Crystal system: tetragonal
DFT total energy, eV/atom: -3.236

Geometry as CIF:
```
data_CrCd2Ga2
_space_group_name_H-M_alt 'P 4/m b m'
_space_group_IT_number 127
_space_group_name_Hall '-P 4 2ab'
_cell_length_a 6.8671
_cell_length_b 6.8671
_cell_length_c 4.2300
_cell_angle_alpha 90.00
_cell_angle_beta 90.00
_cell_angle_gamma 90.00
loop_
_atom_site_label
_atom_site_type_symbol
_atom_site_fract_x
_atom_site_fract_y
_atom_site_fract_z
Cr1 Cr 0.0000 0.0000 0.0000
Cd1 Cd 0.1767 0.3233 0.5000
Ga1 Ga 0.1324 0.6324 0.0000
```


Entry 3:
The following is a DFT calculation (PBE-GGA) of a relaxed CrCd2Ga crystal.

Values from the calculation:
Crystal system: tetragonal
DFT total energy, eV/atom: -3.171

Geometry as CIF:
```
data_CrCd2Ga
_space_group_name_H-M_alt 'I -4 2 d'
_space_group_IT_number 122
_space_group_name_Hall 'I -4 2bw'
_cell_length_a 7.8044
_cell_length_b 7.8044
_cell_length_c 5.5571
_cell_angle_alpha 90.00
_cell_angle_beta 90.00
_cell_angle_gamma 90.00
loop_
_atom_site_label
_atom_site_type_symbol
_atom_site_fract_x
_atom_site_fract_y
_atom_site_fract_z
Cr1 Cr 0.0000 0.0000 0.0000
Cd1 Cd 0.2417 0.7500 0.6250
Ga1 Ga 0.0000 0.0000 0.5000
```


Entry 4:
The following is a DFT calculation (PBE-GGA) of a relaxed Cr2CdGa crystal.

Values from the calculation:
Crystal system: tetragonal
DFT total energy, eV/atom: -5.028

Geometry as CIF:
```
data_Cr2CdGa
_space_group_name_H-M_alt 'I -4 2 d'
_space_group_IT_number 122
_space_group_name_Hall 'I -4 2bw'
_cell_length_a 3.7390
_cell_length_b 3.7390
_cell_length_c 18.7057
_cell_angle_alpha 90.00
_cell_angle_beta 90.00
_cell_angle_gamma 90.00
loop_
_atom_site_label
_atom_site_type_symbol
_atom_site_fract_x
_atom_site_fract_y
_atom_site_fract_z
Cr1 Cr 0.1765 0.2500 0.1250
Cd1 Cd 0.0000 0.0000 0.5000
Ga1 Ga 0.0000 0.0000 0.0000
```